# 1
A plane-wave DFT calculation with PBE-GGA was carried out for a geometry-optimized Hf6AlH structure.

Geometry as POSCAR:
```
Hf6AlH
1.0
5.2852 0.0000 0.0000
-0.4121 5.4799 0.0000
-1.5860 -1.1647 5.2658
Hf Al H
6 1 1
direct
0.0705 0.2663 0.1481
0.2373 0.8414 0.4367
0.3260 0.3931 0.7410
0.6740 0.6069 0.2590
0.7627 0.1586 0.5633
0.9295 0.7337 0.8519
0.5000 0.0000 0.0000
0.5000 0.5000 0.5000
```

Results
* space-group type: No. 2
* crystal system: triclinic
* E: -67.381 eV for the cell shown
* M_tot: 0.000 μB/atom
* V: 19.064 A^3/atom

=====

# 2
A plane-wave DFT calculation with PBE-GGA was carried out for a geometry-optimized Sr3Ga8Pt3 structure.

Geometry as POSCAR:
```
Sr3Ga8Pt3
1.0
-2.2108 5.2219 6.3779
2.2108 -5.2219 6.3779
2.2108 5.2219 -6.3779
Sr Ga Pt
3 8 3
direct
0.0000 0.0000 0.0000
0.3301 0.3301 0.0000
0.6699 0.6699 0.0000
0.0378 0.6824 0.3555
0.1739 0.8871 0.2868
0.3269 0.6824 0.6445
0.3997 0.1129 0.2868
0.6003 0.8871 0.7132
0.6731 0.3176 0.3555
0.8261 0.1129 0.7132
0.9622 0.3176 0.6445
0.2441 0.5000 0.7441
0.5000 0.0000 0.5000
0.7559 0.5000 0.2559
```

Results
* space-group type: No. 71
* crystal system: orthorhombic
* ΔE_f: -634.0 meV/atom
* M_tot: 0.000 μB/atom
* V: 21.037 A^3/atom

=====

# 3
A plane-wave DFT calculation with PBE-GGA was carried out for a geometry-optimized Cs6HBr4 structure.

Geometry as POSCAR:
```
Cs6HBr4
1.0
7.3224 4.2276 5.8214
-7.3224 4.2276 5.8214
0.0000 -8.4552 5.8214
Cs H Br
12 2 8
direct
0.0566 0.9209 0.7013
0.0791 0.2987 0.9434
0.2013 0.4209 0.5566
0.2987 0.9434 0.0791
0.4209 0.5566 0.2013
0.4434 0.7987 0.5791
0.5566 0.2013 0.4209
0.5791 0.4434 0.7987
0.7013 0.0566 0.9209
0.7987 0.5791 0.4434
0.9209 0.7013 0.0566
0.9434 0.0791 0.2987
0.0000 0.0000 0.0000
0.5000 0.5000 0.5000
0.1308 0.7500 0.3692
0.2500 0.2500 0.2500
0.2500 0.6308 0.8692
0.3692 0.1308 0.7500
0.6308 0.8692 0.2500
0.7500 0.3692 0.1308
0.7500 0.7500 0.7500
0.8692 0.2500 0.6308
```

Results
* space-group type: No. 167
* crystal system: trigonal
* E: -57.703 eV for the cell shown
* M_tot: 0.000 μB/atom
* V: 49.148 A^3/atom

=====

# 4
A plane-wave DFT calculation with PBE-GGA was carried out for a geometry-optimized ScIn3Ni structure.

Geometry as POSCAR:
```
ScIn3Ni
1.0
4.8866 0.0000 0.0000
0.0000 4.8866 0.0000
0.0000 0.0000 4.8866
Sc In Ni
1 3 1
direct
0.0000 0.0000 0.0000
0.0000 0.5000 0.5000
0.5000 0.0000 0.5000
0.5000 0.5000 0.0000
0.5000 0.5000 0.5000
```

Results
* space-group type: No. 221
* crystal system: cubic
* ΔE_f: 12.0 meV/atom
* M_tot: 0.000 μB/atom
* V: 23.337 A^3/atom

=====

# 5
A plane-wave DFT calculation with PBE-GGA was carried out for a geometry-optimized Ir2C structure.

Geometry as POSCAR:
```
Ir2C
1.0
4.2233 0.0000 0.0000
-2.1116 3.6575 0.0000
0.0000 0.0000 2.6873
Ir C
2 1
direct
0.3333 0.6667 0.0000
0.6667 0.3333 0.0000
0.0000 0.0000 0.5000
```

Results
* space-group type: No. 191
* crystal system: hexagonal
* ΔE_f: 2181.0 meV/atom
* M_tot: 0.000 μB/atom
* V: 13.837 A^3/atom

=====

# 6
A plane-wave DFT calculation with PBE-GGA was carried out for a geometry-optimized BeAuCl2 structure.

Geometry as POSCAR:
```
BeAuCl2
1.0
1.5444 0.8917 10.8376
-1.5444 0.8917 10.8376
0.0000 -1.7834 10.8376
Be Au Cl
1 1 2
direct
0.0000 0.0000 0.0000
0.5000 0.5000 0.5000
0.2936 0.2936 0.2936
0.7064 0.7064 0.7064
```

Results
* space-group type: No. 166
* crystal system: trigonal
* M_tot: 0.000 μB/atom
* V: 22.388 A^3/atom
* raw formation energy: -0.64 eV per atom

=====

# 7
A plane-wave DFT calculation with PBE-GGA was carried out for a geometry-optimized Si2PtPb structure.

Geometry as POSCAR:
```
Si2PtPb
1.0
-2.2191 2.2191 3.8277
2.2191 -2.2191 3.8277
2.2191 2.2191 -3.8277
Si Pt Pb
2 1 1
direct
0.0000 0.0000 0.0000
0.7500 0.2500 0.5000
0.5000 0.5000 0.0000
0.2500 0.7500 0.5000
```

Results
* space-group type: No. 119
* crystal system: tetragonal
* M_tot: 0.000 μB/atom
* V: 18.850 A^3/atom
* raw formation energy: 0.39 eV per atom

=====

# 8
A plane-wave DFT calculation with PBE-GGA was carried out for a geometry-optimized Pa2InCo4Ge3 structure.

Geometry as POSCAR:
```
Pa2InCo4Ge3
1.0
3.9269 0.0000 0.0000
0.0000 3.9269 0.0000
0.0000 0.0000 10.6304
Pa In Co Ge
2 1 4 3
direct
0.0000 0.5000 0.2409
0.5000 0.0000 0.7591
0.0000 0.0000 0.5000
0.0000 0.0000 0.0000
0.0000 0.5000 0.6615
0.5000 0.0000 0.3385
0.5000 0.5000 0.0000
0.0000 0.5000 0.8782
0.5000 0.0000 0.1218
0.5000 0.5000 0.5000
```

Results
* space-group type: No. 115
* crystal system: tetragonal
* ΔE_f: -412.0 meV/atom
* M_tot: 0.000 μB/atom
* V: 16.393 A^3/atom

=====

# 9
A plane-wave DFT calculation with PBE-GGA was carried out for a geometry-optimized SnB structure.

Geometry as POSCAR:
```
SnB
1.0
10.8220 0.0000 0.0000
0.0000 3.8250 0.0000
0.0000 0.0000 5.3356
Sn B
6 6
direct
0.0000 0.0197 0.0000
0.1844 0.6406 0.5644
0.3156 0.3594 0.0644
0.5000 0.9803 0.5000
0.6844 0.3594 0.0644
0.8156 0.6406 0.5644
0.0000 0.5044 0.7428
0.1948 0.8648 0.1374
0.3051 0.1352 0.6374
0.5000 0.4956 0.2428
0.6948 0.1352 0.6374
0.8052 0.8648 0.1374
```

Results
* space-group type: No. 31
* crystal system: orthorhombic
* ΔE_f: 882.4 meV/atom
* M_tot: 0.000 μB/atom
* V: 18.405 A^3/atom

=====

# 10
A plane-wave DFT calculation with PBE-GGA was carried out for a geometry-optimized NbTeHPdICl structure.

Geometry as POSCAR:
```
NbTeHPdICl
1.0
3.4112 0.0000 0.0000
-1.7036 6.7409 0.0000
-1.6607 -2.7081 6.4068
Nb Te H Pd I Cl
1 1 1 1 1 1
direct
0.0000 0.0000 0.0000
0.7196 0.0814 0.3670
0.8910 0.0205 0.7549
0.0006 0.7537 0.2535
0.6566 0.3342 0.9790
0.2615 0.7350 0.7819
```

Results
* space-group type: No. 1
* crystal system: triclinic
* E: -26.779 eV for the cell shown
* M_tot: 0.000 μB/atom
* V: 24.553 A^3/atom

=====

# 11
A plane-wave DFT calculation with PBE-GGA was carried out for a geometry-optimized Sc3Ga2O8 structure.

Geometry as POSCAR:
```
Sc3Ga2O8
1.0
3.1963 -5.8571 0.0000
3.1963 5.8571 0.0000
0.0000 0.0000 8.6715
Sc Ga O
6 4 16
direct
0.0000 0.0000 0.0000
0.1033 0.3967 0.2500
0.3967 0.1033 0.7500
0.5000 0.5000 0.5000
0.6033 0.8967 0.2500
0.8967 0.6033 0.7500
0.1115 0.8885 0.3831
0.3885 0.6115 0.8831
0.6115 0.3885 0.1169
0.8885 0.1115 0.6169
0.0141 0.9859 0.7568
0.1273 0.3524 0.4913
0.1476 0.3727 0.0087
0.2458 0.7542 0.2706
0.2542 0.7458 0.7706
0.3524 0.1273 0.5087
0.3727 0.1476 0.9913
0.4859 0.5141 0.2568
0.5141 0.4859 0.7432
0.6273 0.8524 0.0087
0.6476 0.8727 0.4913
0.7458 0.2542 0.2294
0.7542 0.2458 0.7294
0.8524 0.6273 0.9913
0.8727 0.6476 0.5087
0.9859 0.0141 0.2432
```

Results
* space-group type: No. 64
* crystal system: orthorhombic
* M_tot: 0.078 μB/atom
* V: 12.488 A^3/atom
* raw formation energy: -2.65 eV per atom

=====

# 12
A plane-wave DFT calculation with PBE-GGA was carried out for a geometry-optimized Cs2VI5 structure.

Geometry as POSCAR:
```
Cs2VI5
1.0
8.3289 0.0000 0.0000
0.0000 8.3289 0.0000
0.0000 0.0000 5.6561
Cs V I
2 1 5
direct
0.0000 0.5000 0.0000
0.5000 0.0000 0.0000
0.0000 0.0000 0.5000
0.0000 0.0000 0.0000
0.2362 0.2362 0.5000
0.2362 0.7638 0.5000
0.7638 0.2362 0.5000
0.7638 0.7638 0.5000
```

Results
* space-group type: No. 123
* crystal system: tetragonal
* M_tot: 0.250 μB/atom
* V: 49.046 A^3/atom
* raw formation energy: -0.98 eV per atom

=====

# 13
A plane-wave DFT calculation with PBE-GGA was carried out for a geometry-optimized YTlCdPt structure.

Geometry as POSCAR:
```
YTlCdPt
1.0
0.0000 3.5309 3.5309
3.5309 0.0000 3.5309
3.5309 3.5309 0.0000
Y Tl Cd Pt
1 1 1 1
direct
0.0000 0.0000 0.0000
0.7500 0.7500 0.7500
0.5000 0.5000 0.5000
0.2500 0.2500 0.2500
```

Results
* space-group type: No. 216
* crystal system: cubic
* ΔE_f: -479.2 meV/atom
* M_tot: 0.000 μB/atom
* V: 22.011 A^3/atom

=====

# 14
A plane-wave DFT calculation with PBE-GGA was carried out for a geometry-optimized CuReBi2 structure.

Geometry as POSCAR:
```
CuReBi2
1.0
-3.1552 3.1552 5.9297
3.1552 -3.1552 5.9297
3.1552 3.1552 -5.9297
Cu Re Bi
2 2 4
direct
0.0000 0.0000 0.0000
0.7500 0.2500 0.5000
0.2500 0.7500 0.5000
0.5000 0.5000 0.0000
0.1271 0.6250 0.0021
0.3750 0.3771 0.5021
0.6229 0.1250 0.9979
0.8750 0.8729 0.4979
```

Results
* space-group type: No. 122
* crystal system: tetragonal
* ΔE_f: 1076.3 meV/atom
* M_tot: 0.000 μB/atom
* V: 29.516 A^3/atom

=====

# 15
A plane-wave DFT calculation with PBE-GGA was carried out for a geometry-optimized Ta4Mo3 structure.

Geometry as POSCAR:
```
Ta4Mo3
1.0
-1.6145 1.6145 11.4939
1.6145 -1.6145 11.4939
1.6145 1.6145 -11.4939
Ta Mo
4 3
direct
0.1377 0.1377 0.0000
0.2871 0.2871 0.0000
0.7129 0.7129 0.0000
0.8623 0.8623 0.0000
0.0000 0.0000 0.0000
0.4322 0.4322 0.0000
0.5678 0.5678 0.0000
```

Results
* space-group type: No. 139
* crystal system: tetragonal
* ΔE_f: -82.7 meV/atom
* M_tot: 0.000 μB/atom
* V: 17.121 A^3/atom

=====

# 16
A plane-wave DFT calculation with PBE-GGA was carried out for a geometry-optimized GaP2AuS structure.

Geometry as POSCAR:
```
GaP2AuS
1.0
4.8230 0.0000 0.0000
0.0000 4.8230 0.0000
0.0000 0.0000 5.1251
Ga P Au S
1 2 1 1
direct
0.0000 0.0000 0.0000
0.0000 0.5000 0.5000
0.5000 0.0000 0.5000
0.5000 0.5000 0.5000
0.5000 0.5000 0.0000
```

Results
* space-group type: No. 123
* crystal system: tetragonal
* M_tot: 0.262 μB/atom
* V: 23.844 A^3/atom
* raw formation energy: 0.92 eV per atom

=====

# 17
A plane-wave DFT calculation with PBE-GGA was carried out for a geometry-optimized La12CeSm7 structure.

Geometry as POSCAR:
```
La12CeSm7
1.0
9.8254 5.6727 2.1409
-9.8254 5.6727 2.1409
0.0000 -11.3453 2.1409
La Ce Sm
12 1 7
direct
0.0008 0.4068 0.5939
0.0630 0.0635 0.4196
0.0635 0.4196 0.0630
0.4061 0.9992 0.5932
0.4068 0.5939 0.0008
0.4196 0.0630 0.0635
0.5804 0.9370 0.9365
0.5932 0.4061 0.9992
0.5939 0.0008 0.4068
0.9365 0.5804 0.9370
0.9370 0.9365 0.5804
0.9992 0.5932 0.4061
0.5000 0.5000 0.5000
0.0000 0.0000 0.0000
0.1419 0.3892 0.3885
0.3885 0.1419 0.3892
0.3892 0.3885 0.1419
0.6108 0.6115 0.8581
0.6115 0.8581 0.6108
0.8581 0.6108 0.6115
```

Results
* space-group type: No. 148
* crystal system: trigonal
* ΔE_f: 181.8 meV/atom
* M_tot: 0.000 μB/atom
* V: 35.797 A^3/atom

=====

# 18
A plane-wave DFT calculation with PBE-GGA was carried out for a geometry-optimized MoS structure.

Geometry as POSCAR:
```
MoS
1.0
-3.6844 3.6844 3.6844
3.6844 -3.6844 3.6844
3.6844 3.6844 -3.6844
Mo S
4 4
direct
0.0000 0.0000 0.2674
0.0000 0.2674 0.0000
0.2674 0.0000 0.0000
0.7326 0.7326 0.7326
0.0000 0.0000 0.6437
0.0000 0.6437 0.0000
0.3563 0.3563 0.3563
0.6437 0.0000 0.0000
```

Results
* space-group type: No. 217
* crystal system: cubic
* M_tot: 0.000 μB/atom
* V: 25.007 A^3/atom
* raw formation energy: -0.16 eV per atom

=====

# 19
A plane-wave DFT calculation with PBE-GGA was carried out for a geometry-optimized Ca2MnCoP structure.

Geometry as POSCAR:
```
Ca2MnCoP
1.0
5.1723 0.0000 0.0000
0.0000 5.1723 0.0000
0.0000 0.0000 4.3172
Ca Mn Co P
2 1 1 1
direct
0.0000 0.5000 0.0000
0.5000 0.0000 0.0000
0.0000 0.0000 0.5000
0.0000 0.0000 0.0000
0.5000 0.5000 0.5000
```

Results
* space-group type: No. 123
* crystal system: tetragonal
* ΔE_f: 292.9 meV/atom
* M_tot: 0.804 μB/atom
* V: 23.099 A^3/atom

=====

# 20
A plane-wave DFT calculation with PBE-GGA was carried out for a geometry-optimized P2BrClO structure.

Geometry as POSCAR:
```
P2BrClO
1.0
5.0226 0.0000 0.0000
0.0000 5.0226 0.0000
0.0000 0.0000 4.0080
P Br Cl O
2 1 1 1
direct
0.0000 0.5000 0.0000
0.5000 0.0000 0.0000
0.0000 0.0000 0.0000
0.5000 0.5000 0.5000
0.0000 0.0000 0.5000
```

Results
* space-group type: No. 123
* crystal system: tetragonal
* M_tot: 0.351 μB/atom
* V: 20.221 A^3/atom
* raw formation energy: 1.27 eV per atom

=====

# 21
A plane-wave DFT calculation with PBE-GGA was carried out for a geometry-optimized Er3ScAl2 structure.

Geometry as POSCAR:
```
Er3ScAl2
1.0
-3.1334 7.9251 3.1304
3.1334 -7.9251 3.1304
3.1334 7.9251 -3.1304
Er Sc Al
6 2 4
direct
0.1768 0.7482 0.9250
0.2500 0.2500 0.0000
0.3232 0.2482 0.5714
0.6768 0.7518 0.4286
0.7500 0.7500 0.0000
0.8232 0.2518 0.0750
0.2500 0.7500 0.5000
0.7500 0.2500 0.5000
0.1303 0.2590 0.3893
0.3697 0.7590 0.1286
0.6303 0.2410 0.8714
0.8697 0.7410 0.6107
```

Results
* space-group type: No. 72
* crystal system: orthorhombic
* ΔE_f: -193.0 meV/atom
* M_tot: 0.224 μB/atom
* V: 25.912 A^3/atom

=====

# 22
A plane-wave DFT calculation with PBE-GGA was carried out for a geometry-optimized Pr3GaBi structure.

Geometry as POSCAR:
```
Pr3GaBi
1.0
5.7628 0.0000 0.0000
0.0000 6.5380 0.0000
-0.0075 0.0000 8.8450
Pr Ga Bi
6 2 2
direct
0.0000 0.0000 0.0000
0.0005 0.2500 0.3633
0.0000 0.5000 0.0000
0.9995 0.7500 0.6367
0.4996 0.2500 0.7416
0.5004 0.7500 0.2584
0.0006 0.7500 0.3032
0.9994 0.2500 0.6968
0.5002 0.2500 0.1523
0.4998 0.7500 0.8477
```

Results
* space-group type: No. 11
* crystal system: monoclinic
* ΔE_f: -520.2 meV/atom
* M_tot: 0.000 μB/atom
* V: 33.326 A^3/atom